Record 1
A plane-wave DFT calculation with PBE was carried out for a relaxed structure of RbY2PuO8.

Magnetic moment = 0.080 μB/atom

Cell and atoms, written as CIF:
```
data_RbY2PuO8
_chemical_formula_sum 'Rb2 Y4 Pu2 O16'
_symmetry_space_group_name_H-M 'C 1 2/m 1'
_symmetry_Int_Tables_number 12
_cell_length_a 7.203
_cell_length_b 7.240
_cell_length_c 7.779
_cell_angle_alpha 90.00
_cell_angle_beta 90.16
_cell_angle_gamma 90.00
loop_
_symmetry_equiv_pos_as_xyz
'x,y,z'
'-x,-y,-z'
'-x,y,-z'
'x,-y,z'
'x+1/2,y+1/2,z'
'-x+1/2,-y+1/2,-z'
'-x+1/2,y+1/2,-z'
'x+1/2,-y+1/2,z'
loop_
_atom_site_label
_atom_site_fract_x
_atom_site_fract_y
_atom_site_fract_z
Rb1 0.000 0.000 0.000
Y1 0.000 0.500 0.284
Pu1 0.000 0.000 0.500
O1 0.001 0.187 0.684
O2 0.105 0.500 0.000
O3 0.204 0.500 0.501
```

Record 2
A plane-wave DFT calculation with PBE was carried out for a relaxed structure of Rb2YPuO4.

Magnetic moment = 0.625 μB/atom
D(E_F) = 5.2 states/eV/f.u.

Cell and atoms, written as CIF:
```
data_Rb2YPuO4
_chemical_formula_sum 'Rb2 Y1 Pu1 O4'
_symmetry_space_group_name_H-M 'P 1 2/m 1'
_symmetry_Int_Tables_number 10
_cell_length_a 6.181
_cell_length_b 3.565
_cell_length_c 6.879
_cell_angle_alpha 90.00
_cell_angle_beta 107.42
_cell_angle_gamma 90.00
loop_
_symmetry_equiv_pos_as_xyz
'x,y,z'
'-x,-y,-z'
'-x,y,-z'
'x,-y,z'
loop_
_atom_site_label
_atom_site_fract_x
_atom_site_fract_y
_atom_site_fract_z
Rb1 0.000 0.000 0.000
Rb2 0.500 0.500 0.000
Y1 0.000 0.500 0.500
Pu1 0.500 0.000 0.500
O1 0.221 0.000 0.677
O2 0.272 0.500 0.325
```

Record 3
A plane-wave DFT calculation with PBE was carried out for a relaxed structure of Rb2YPuO6.

Magnetic moment = 0.100 μB/atom

Cell and atoms, written as CIF:
```
data_Rb2YPuO6
_chemical_formula_sum 'Rb8 Y4 Pu4 O24'
_symmetry_space_group_name_H-M 'F m -3 m'
_symmetry_Int_Tables_number 225
_symmetry_space_group_name_Hall '-F 4 2 3'
_cell_length_a 8.664
_cell_length_b 8.664
_cell_length_c 8.664
_cell_angle_alpha 90.00
_cell_angle_beta 90.00
_cell_angle_gamma 90.00
loop_
_atom_site_label
_atom_site_fract_x
_atom_site_fract_y
_atom_site_fract_z
Rb1 0.250 0.250 0.250
Y1 0.000 0.000 0.000
Pu1 0.000 0.000 0.500
O1 0.000 0.000 0.265
```

Record 4
A plane-wave DFT calculation with PBE was carried out for a relaxed structure of Rb3Y3PuO8.

Magnetic moment = 0.267 μB/atom
D(E_F) = 3.8 states/eV/f.u.

Cell and atoms, written as CIF:
```
data_Rb3Y3PuO8
_chemical_formula_sum 'Rb9 Y9 Pu3 O24'
_symmetry_space_group_name_H-M 'R -3 m'
_symmetry_Int_Tables_number 166
_symmetry_space_group_name_Hall '-R 3 2"'
_cell_length_a 7.0000
_cell_length_b 7.0000
_cell_length_c 19.9526
_cell_angle_alpha 90.00
_cell_angle_beta 90.00
_cell_angle_gamma 120.00
loop_
_atom_site_label
_atom_site_fract_x
_atom_site_fract_y
_atom_site_fract_z
Rb1 0.0000 0.5000 0.0000
Y1 0.0000 0.5000 0.5000
Pu1 0.0000 0.0000 0.5000
O1 0.0000 0.0000 0.2235
O2 0.0110 0.5055 0.2222
```

Record 5
A plane-wave DFT calculation with PBE was carried out for a relaxed structure of Rb3Y2PuO6.

Magnetic moment = 0.417 μB/atom
D(E_F) = 7.1 states/eV/f.u.

Cell and atoms, written as CIF:
```
data_Rb3Y2PuO6
_chemical_formula_sum 'Rb6 Y4 Pu2 O12'
_symmetry_space_group_name_H-M 'C 1 2/m 1'
_symmetry_Int_Tables_number 12
_cell_length_a 6.156
_cell_length_b 10.662
_cell_length_c 6.878
_cell_angle_alpha 90.00
_cell_angle_beta 107.36
_cell_angle_gamma 90.00
loop_
_symmetry_equiv_pos_as_xyz
'x,y,z'
'-x,-y,-z'
'-x,y,-z'
'x,-y,z'
'x+1/2,y+1/2,z'
'-x+1/2,-y+1/2,-z'
'-x+1/2,y+1/2,-z'
'x+1/2,-y+1/2,z'
loop_
_atom_site_label
_atom_site_fract_x
_atom_site_fract_y
_atom_site_fract_z
Rb1 0.000 0.000 0.000
Rb2 0.000 0.333 0.000
Y1 0.000 0.167 0.500
Pu1 0.000 0.500 0.500
O1 0.221 0.000 0.676
O2 0.228 0.331 0.676
```

Record 6
A plane-wave DFT calculation with PBE was carried out for a relaxed structure of Rb3Pu2ZnO9.

Magnetic moment = 0.200 μB/atom
D(E_F) = 6.3 states/eV/f.u.

Cell and atoms, written as CIF:
```
data_Rb3Pu2ZnO9
_chemical_formula_sum 'Rb3 Pu2 Zn1 O9'
_symmetry_space_group_name_H-M 'P -3 m 1'
_symmetry_Int_Tables_number 164
_symmetry_space_group_name_Hall '-P 3 2"'
_cell_length_a 5.9883
_cell_length_b 5.9883
_cell_length_c 7.3645
_cell_angle_alpha 90.00
_cell_angle_beta 90.00
_cell_angle_gamma 120.00
loop_
_atom_site_label
_atom_site_fract_x
_atom_site_fract_y
_atom_site_fract_z
Rb1 0.0000 0.0000 0.0000
Rb2 0.3333 0.6667 0.6582
Pu1 0.3333 0.6667 0.1716
Zn1 0.0000 0.0000 0.5000
O1 0.0000 0.5000 0.0000
O2 0.1741 0.3483 0.3239
```

Record 7
A plane-wave DFT calculation with PBE was carried out for a relaxed structure of Rb2PuZnO4.

Magnetic moment = 0.500 μB/atom
D(E_F) = 5.3 states/eV/f.u.

Cell and atoms, written as CIF:
```
data_Rb2PuZnO4
_chemical_formula_sum 'Rb2 Pu1 Zn1 O4'
_symmetry_space_group_name_H-M 'P 1 2/m 1'
_symmetry_Int_Tables_number 10
_cell_length_a 5.806
_cell_length_b 3.468
_cell_length_c 6.832
_cell_angle_alpha 90.00
_cell_angle_beta 107.73
_cell_angle_gamma 90.00
loop_
_symmetry_equiv_pos_as_xyz
'x,y,z'
'-x,-y,-z'
'-x,y,-z'
'x,-y,z'
loop_
_atom_site_label
_atom_site_fract_x
_atom_site_fract_y
_atom_site_fract_z
Rb1 0.000 0.000 0.000
Rb2 0.500 0.500 0.000
Pu1 0.000 0.500 0.500
Zn1 0.500 0.000 0.500
O1 0.215 0.000 0.683
O2 0.272 0.500 0.332
```

Record 8
A plane-wave DFT calculation with PBE was carried out for a relaxed structure of Rb3PuZn2O6.

Magnetic moment = 0.250 μB/atom
D(E_F) = 9.6 states/eV/f.u.

Cell and atoms, written as CIF:
```
data_Rb3PuZn2O6
_chemical_formula_sum 'Rb3 Pu1 Zn2 O6'
_symmetry_space_group_name_H-M 'P -3 m 1'
_symmetry_Int_Tables_number 164
_symmetry_space_group_name_Hall '-P 3 2"'
_cell_length_a 6.2102
_cell_length_b 6.2102
_cell_length_c 7.3402
_cell_angle_alpha 90.00
_cell_angle_beta 90.00
_cell_angle_gamma 120.00
loop_
_atom_site_label
_atom_site_fract_x
_atom_site_fract_y
_atom_site_fract_z
Rb1 0.0000 0.0000 0.0000
Rb2 0.3333 0.6667 0.7412
Pu1 0.0000 0.0000 0.5000
Zn1 0.3333 0.6667 0.3158
O1 0.1584 0.3167 0.3180
```

| no. | formation energy (no corrections) (eV per formula unit) | E (eV/atom) |
| --- | --- | --- |
| 1 | -30.1 | -8.16 |
| 2 | -19.9 | -7.81 |
| 3 | -25.3 | -7.77 |
| 4 | -41.4 | -7.85 |
| 5 | -30.5 | -7.53 |
| 6 | -31.3 | -7.25 |
| 7 | -15.0 | -6.55 |
| 8 | -21.3 | -5.90 |